1.
# PBE AgPb2Au, optimized geometry
# Energy relative to the elements   0.190 eV per atom
# Fermi-level density of states   4.23 states/eV/cell
# E_tot   -3.196 eV/atom
data_AgPb2Au
_chemical_formula_sum 'Ag1 Pb2 Au1'
_space_group_name_H-M_alt 'P 1'
_space_group_IT_number 1
_cell_length_a 5.174
_cell_length_b 5.174
_cell_length_c 5.174
_cell_angle_alpha 60.00
_cell_angle_beta 60.00
_cell_angle_gamma 60.00
loop_
_space_group_symop_operation_xyz
'x,y,z'
loop_
_atom_site_label
_atom_site_type_symbol
_atom_site_fract_x
_atom_site_fract_y
_atom_site_fract_z
Pb1 Pb 0.000 0.000 0.000
Pb2 Pb 0.250 0.250 0.250
Au1 Au 0.750 0.750 0.750
Ag1 Ag 0.500 0.500 0.500

2.
# PBE AgPbAu, optimized geometry
# Energy relative to the elements   0.035 eV per atom
# Fermi-level density of states   1.18 states/eV/cell
# E_tot   -3.244 eV/atom
data_AgPbAu
_chemical_formula_sum 'Ag1 Pb1 Au1'
_space_group_name_H-M_alt 'P 1'
_space_group_IT_number 1
_cell_length_a 5.248
_cell_length_b 5.248
_cell_length_c 5.248
_cell_angle_alpha 137.11
_cell_angle_beta 137.26
_cell_angle_gamma 62.15
loop_
_space_group_symop_operation_xyz
'x,y,z'
loop_
_atom_site_label
_atom_site_type_symbol
_atom_site_fract_x
_atom_site_fract_y
_atom_site_fract_z
Pb1 Pb 0.669 0.669 0.000
Au1 Au 0.336 0.336 0.000
Ag1 Ag 0.995 0.995 0.000

3.
# PBE Ag2PbAu, optimized geometry
# Energy relative to the elements   0.045 eV per atom
# Fermi-level density of states   1.36 states/eV/cell
# E_tot   -3.127 eV/atom
data_Ag2PbAu
_chemical_formula_sum 'Ag2 Pb1 Au1'
_space_group_name_H-M_alt 'P 1'
_space_group_IT_number 1
_cell_length_a 5.319
_cell_length_b 5.319
_cell_length_c 5.319
_cell_angle_alpha 131.51
_cell_angle_beta 131.61
_cell_angle_gamma 70.93
loop_
_space_group_symop_operation_xyz
'x,y,z'
loop_
_atom_site_label
_atom_site_type_symbol
_atom_site_fract_x
_atom_site_fract_y
_atom_site_fract_z
Pb1 Pb 0.250 0.750 0.500
Au1 Au 0.750 0.250 0.500
Ag1 Ag 0.000 0.000 0.000
Ag2 Ag 0.500 0.500 0.000

4.
# PBE Ag2PbAu2, optimized geometry
# Energy relative to the elements   0.079 eV per atom
# Fermi-level density of states   2.20 states/eV/cell
# E_tot   -3.114 eV/atom
data_Ag2PbAu2
_chemical_formula_sum 'Ag2 Pb1 Au2'
_space_group_name_H-M_alt 'P 1'
_space_group_IT_number 1
_cell_length_a 4.003
_cell_length_b 4.003
_cell_length_c 7.386
_cell_angle_alpha 74.28
_cell_angle_beta 74.28
_cell_angle_gamma 90.00
loop_
_space_group_symop_operation_xyz
'x,y,z'
loop_
_atom_site_label
_atom_site_type_symbol
_atom_site_fract_x
_atom_site_fract_y
_atom_site_fract_z
Pb1 Pb 0.000 0.000 0.000
Au1 Au 0.750 0.250 0.500
Au2 Au 0.250 0.750 0.500
Ag1 Ag 0.399 0.399 0.203
Ag2 Ag 0.601 0.601 0.797